YMgFe | GGA-PBE | relaxed

Calculated values
- density (g/cm³) = 4.36
- formation enthalpy at 0 K (eV/atom) = 0.26
- space-group type = P-6m2, No. 187

The structure in POSCAR format:
```
YMgFe
1.0
4.701 0.000 0.000
-2.350 4.071 0.000
0.000 0.000 3.361
Fe Mg Y
1 1 1
direct
0.000 0.000 0.167
0.667 0.333 0.167
0.333 0.667 0.667
```